# 1
Material: Li2ScSiI
Method: DFT, GGA-PBE
State: relaxed

Calculated values
- SG: No. 123
- Energy relative to the elements, uncorrected: 172.4 kJ/mol of formula units

```
Li2ScSiI
1.0
4.747 0.000 0.000
0.000 4.747 0.000
0.000 0.000 5.993
Li Sc Si I
2 1 1 1
Direct
0.000 0.500 0.000
0.500 0.000 0.000
0.000 0.000 0.500
0.500 0.500 0.500
0.500 0.500 0.000
```

# 2
Material: Li2ScSiI
Method: DFT, GGA-PBE
State: relaxed

Calculated values
- SG: No. 123
- Energy relative to the elements, uncorrected: 419.8 kJ/mol of formula units

```
Li2ScSiI
1.0
5.755 0.000 0.000
0.000 5.755 0.000
0.000 0.000 5.365
Li Sc Si I
2 1 1 1
Direct
0.000 0.500 0.000
0.500 0.000 0.000
0.000 0.000 0.000
0.500 0.500 0.500
0.000 0.000 0.500
```

# 3
Material: LiScTe2I
Method: DFT, GGA-PBE
State: relaxed

Calculated values
- SG: No. 123
- Energy relative to the elements, uncorrected: -313.7 kJ/mol of formula units

```
LiScTe2I
1.0
5.551 0.000 0.000
0.000 5.551 0.000
0.000 0.000 5.980
Li Sc Te I
1 1 2 1
Direct
0.000 0.000 0.000
0.500 0.500 0.500
0.000 0.500 0.500
0.500 0.000 0.500
0.500 0.500 0.000
```

# 4
Material: LiScTeI2
Method: DFT, GGA-PBE
State: relaxed

Calculated values
- SG: No. 123
- Energy relative to the elements, uncorrected: -127.5 kJ/mol of formula units

```
LiScTeI2
1.0
5.166 0.000 0.000
0.000 5.166 0.000
0.000 0.000 5.628
Li Sc Te I
1 1 1 2
Direct
0.000 0.000 0.000
0.500 0.500 0.500
0.000 0.000 0.500
0.000 0.500 0.000
0.500 0.000 0.000
```

# 5
Material: LiScTeI2
Method: DFT, GGA-PBE
State: relaxed

Calculated values
- SG: No. 123
- Energy relative to the elements, uncorrected: -391.5 kJ/mol of formula units

```
LiScTeI2
1.0
5.844 0.000 0.000
0.000 5.844 0.000
0.000 0.000 5.591
Li Sc Te I
1 1 1 2
Direct
0.000 0.000 0.000
0.500 0.500 0.500
0.500 0.500 0.000
0.000 0.500 0.500
0.500 0.000 0.500
```

# 6
Material: LiScTe2I
Method: DFT, GGA-PBE
State: relaxed

Calculated values
- SG: No. 123
- Energy relative to the elements, uncorrected: -76.3 kJ/mol of formula units

```
LiScTe2I
1.0
5.105 0.000 0.000
0.000 5.105 0.000
0.000 0.000 5.404
Li Sc Te I
1 1 2 1
Direct
0.000 0.000 0.000
0.500 0.500 0.500
0.000 0.500 0.000
0.500 0.000 0.000
0.000 0.000 0.500
```

# 7
Material: LiZr2ScI
Method: DFT, GGA-PBE
State: relaxed

Calculated values
- SG: No. 123
- Energy relative to the elements, uncorrected: 333.2 kJ/mol of formula units

```
LiZr2ScI
1.0
4.934 0.000 0.000
0.000 4.934 0.000
0.000 0.000 4.668
Li Zr Sc I
1 2 1 1
Direct
0.000 0.000 0.000
0.000 0.500 0.000
0.500 0.000 0.000
0.500 0.500 0.500
0.000 0.000 0.500
```

# 8
Material: Li2SeI
Method: DFT, GGA-PBE
State: relaxed

Calculated values
- SG: No. 166
- Energy relative to the elements, uncorrected: -263.3 kJ/mol of formula units

```
Li2SeI
1.0
2.056 1.187 8.071
-2.056 1.187 8.071
0.000 -2.374 8.071
Li Se I
2 1 1
Direct
0.099 0.099 0.099
0.901 0.901 0.901
0.000 0.000 0.000
0.500 0.500 0.500
```

# 9
Material: LiSeI3
Method: DFT, GGA-PBE
State: relaxed

Calculated values
- SG: No. 2
- Energy relative to the elements, uncorrected: -186.2 kJ/mol of formula units

```
LiSeI3
1.0
7.808 0.000 0.000
-0.004 7.819 0.000
-3.820 -2.067 15.863
Li Se I
4 4 12
Direct
0.102 0.380 0.230
0.386 0.619 0.770
0.614 0.381 0.230
0.898 0.620 0.770
0.162 0.150 0.811
0.383 0.875 0.281
0.617 0.125 0.719
0.838 0.850 0.189
0.103 0.394 0.691
0.191 0.826 0.870
0.231 0.346 0.952
0.322 0.568 0.159
0.409 0.234 0.332
0.454 0.762 0.423
0.546 0.238 0.577
0.591 0.766 0.668
0.678 0.432 0.841
0.769 0.654 0.048
0.809 0.174 0.130
0.897 0.606 0.309
```

# 10
Material: LiSeI
Method: DFT, GGA-PBE
State: relaxed

Calculated values
- SG: No. 2
- Energy relative to the elements, uncorrected: -166.6 kJ/mol of formula units

```
LiSeI
1.0
3.319 0.000 0.000
0.116 7.733 0.000
0.005 2.923 7.599
Li Se I
2 2 2
Direct
0.002 0.451 0.298
0.998 0.549 0.702
0.495 0.649 0.897
0.505 0.351 0.103
0.011 0.210 0.653
0.989 0.790 0.347
```

# 11
Material: LiSeI3
Method: DFT, GGA-PBE
State: relaxed

Calculated values
- SG: No. 221
- Energy relative to the elements, uncorrected: 77.4 kJ/mol of formula units

```
LiSeI3
1.0
5.507 0.000 0.000
0.000 5.507 0.000
0.000 0.000 5.507
Li Se I
1 1 3
Direct
0.000 0.000 0.000
0.500 0.500 0.500
0.000 0.000 0.500
0.000 0.500 0.000
0.500 0.000 0.000
```

# 12
Material: Li5Se2I
Method: DFT, GGA-PBE
State: relaxed

Calculated values
- SG: No. 14
- Energy relative to the elements, uncorrected: -909.6 kJ/mol of formula units

```
Li5Se2I
1.0
10.775 0.000 0.000
0.000 9.037 0.000
-0.820 0.000 7.247
Li Se I
20 8 4
Direct
0.060 0.136 0.429
0.060 0.364 0.929
0.094 0.606 0.427
0.094 0.894 0.927
0.251 0.637 0.789
0.251 0.863 0.289
0.414 0.112 0.911
0.414 0.388 0.411
0.427 0.642 0.167
0.427 0.858 0.667
0.573 0.142 0.333
0.573 0.358 0.833
0.586 0.612 0.589
0.586 0.888 0.089
0.749 0.137 0.711
0.749 0.363 0.211
0.906 0.106 0.073
0.906 0.394 0.573
0.940 0.636 0.071
0.940 0.864 0.571
0.016 0.625 0.751
0.016 0.875 0.251
0.347 0.640 0.483
0.347 0.860 0.983
0.653 0.140 0.017
0.653 0.360 0.517
0.984 0.125 0.749
0.984 0.375 0.249
0.332 0.119 0.509
0.332 0.381 0.009
0.668 0.619 0.991
0.668 0.881 0.491
```

# 13
Material: Li12Se5I3
Method: DFT, GGA-PBE
State: relaxed

Calculated values
- SG: No. 230
- Energy relative to the elements, uncorrected: -1984.3 kJ/mol of formula units

```
Li12Se5I3
1.0
-7.918 7.918 7.918
7.918 -7.918 7.918
7.918 7.918 -7.918
Li Se I
48 20 12
Direct
0.022 0.199 0.102
0.022 0.323 0.920
0.080 0.602 0.403
0.080 0.978 0.677
0.097 0.699 0.677
0.097 0.898 0.420
0.102 0.022 0.199
0.102 0.580 0.903
0.177 0.199 0.597
0.177 0.478 0.580
0.199 0.102 0.022
0.199 0.597 0.177
0.301 0.323 0.903
0.301 0.478 0.398
0.323 0.903 0.301
0.323 0.920 0.022
0.398 0.301 0.478
0.398 0.597 0.920
0.403 0.080 0.602
0.403 0.823 0.801
0.420 0.097 0.898
0.420 0.823 0.522
0.478 0.398 0.301
0.478 0.580 0.177
0.522 0.420 0.823
0.522 0.602 0.699
0.580 0.177 0.478
0.580 0.903 0.102
0.597 0.177 0.199
0.597 0.920 0.398
0.602 0.403 0.080
0.602 0.699 0.522
0.677 0.080 0.978
0.677 0.097 0.699
0.699 0.522 0.602
0.699 0.677 0.097
0.801 0.403 0.823
0.801 0.898 0.978
0.823 0.522 0.420
0.823 0.801 0.403
0.898 0.420 0.097
0.898 0.978 0.801
0.903 0.102 0.580
0.903 0.301 0.323
0.920 0.022 0.323
0.920 0.398 0.597
0.978 0.677 0.080
0.978 0.801 0.898
0.000 0.000 0.000
0.000 0.000 0.500
0.000 0.500 0.000
0.000 0.500 0.500
0.125 0.750 0.875
0.125 0.875 0.250
0.250 0.125 0.875
0.250 0.625 0.375
0.375 0.250 0.625
0.375 0.625 0.750
0.500 0.000 0.000
0.500 0.000 0.500
0.500 0.500 0.000
0.500 0.500 0.500
0.625 0.375 0.250
0.625 0.750 0.375
0.750 0.375 0.625
0.750 0.875 0.125
0.875 0.125 0.750
0.875 0.250 0.125
0.125 0.250 0.375
0.125 0.375 0.750
0.250 0.375 0.125
0.250 0.875 0.625
0.375 0.125 0.250
0.375 0.750 0.125
0.625 0.250 0.875
0.625 0.875 0.750
0.750 0.125 0.375
0.750 0.625 0.875
0.875 0.625 0.250
0.875 0.750 0.625
```

# 14
Material: LiSeI3
Method: DFT, GGA-PBE
State: relaxed

Calculated values
- SG: No. 221
- Energy relative to the elements, uncorrected: -98.2 kJ/mol of formula units

```
LiSeI3
1.0
5.833 0.000 0.000
0.000 5.833 0.000
0.000 0.000 5.833
Li Se I
1 1 3
Direct
0.000 0.000 0.000
0.500 0.500 0.500
0.000 0.500 0.500
0.500 0.000 0.500
0.500 0.500 0.000
```

# 15
Material: Li2SeI
Method: DFT, GGA-PBE
State: relaxed

Calculated values
- SG: No. 225
- Energy relative to the elements, uncorrected: -254.4 kJ/mol of formula units

```
Li2SeI
1.0
0.000 3.557 3.557
3.557 0.000 3.557
3.557 3.557 0.000
Li Se I
2 1 1
Direct
0.250 0.250 0.250
0.750 0.750 0.750
0.000 0.000 0.000
0.500 0.500 0.500
```

# 16
Material: Li2SeI
Method: DFT, GGA-PBE
State: relaxed

Calculated values
- SG: No. 122
- Energy relative to the elements, uncorrected: -294.3 kJ/mol of formula units

```
Li2SeI
1.0
-3.343 3.343 5.040
3.343 -3.343 5.040
3.343 3.343 -5.040
Li Se I
4 2 2
Direct
0.105 0.625 0.980
0.375 0.355 0.480
0.645 0.125 0.020
0.875 0.895 0.520
0.000 0.000 0.000
0.750 0.250 0.500
0.250 0.750 0.500
0.500 0.500 0.000
```

# 17
Material: LiSe3I
Method: DFT, GGA-PBE
State: relaxed

Calculated values
- SG: No. 221
- Energy relative to the elements, uncorrected: 172.7 kJ/mol of formula units

```
LiSe3I
1.0
4.840 0.000 0.000
0.000 4.840 0.000
0.000 0.000 4.840
Li Se I
1 3 1
Direct
0.000 0.000 0.000
0.000 0.000 0.500
0.000 0.500 0.000
0.500 0.000 0.000
0.500 0.500 0.500
```

# 18
Material: LiSiSe2I
Method: DFT, GGA-PBE
State: relaxed

Calculated values
- SG: No. 123
- Energy relative to the elements, uncorrected: -27.5 kJ/mol of formula units

```
LiSiSe2I
1.0
4.664 0.000 0.000
0.000 4.664 0.000
0.000 0.000 10.175
Li Si Se I
1 1 2 1
Direct
0.000 0.000 0.000
0.000 0.000 0.500
0.000 0.500 0.500
0.500 0.000 0.500
0.500 0.500 0.000
```

# 19
Material: LiSmSeI
Method: DFT, GGA-PBE
State: relaxed

Calculated values
- SG: No. 160
- Energy relative to the elements, uncorrected: -518.6 kJ/mol of formula units

```
LiSmSeI
1.0
2.056 1.187 7.484
-2.056 1.187 7.484
0.000 -2.374 7.484
Li Sm Se I
1 1 1 1
Direct
0.000 0.000 0.000
0.546 0.546 0.546
0.292 0.292 0.292
0.785 0.785 0.785
```

# 20
Material: SrLiSeI
Method: DFT, GGA-PBE
State: relaxed

Calculated values
- SG: No. 166
- Energy relative to the elements, uncorrected: -618.5 kJ/mol of formula units

```
SrLiSeI
1.0
2.249 1.298 15.120
-2.249 1.298 15.120
0.000 -2.596 15.120
Sr Li Se I
2 2 2 2
Direct
0.078 0.078 0.078
0.922 0.922 0.922
0.314 0.314 0.314
0.686 0.686 0.686
0.371 0.371 0.371
0.629 0.629 0.629
0.212 0.212 0.212
0.788 0.788 0.788
```